Computed, not measured: a relaxed structure of HoInNiRu at the PBE-GGA level of DFT.

Properties
space-group type = F-43m, No. 216
magnetization = 0.0 Bohr magnetons per cell
electronic total energy = -5.88 eV/atom

Cell lengths 6.5618, 6.5618, 6.5618 Å; angles 90.00, 90.00, 90.00 degrees
Atoms (fractional coordinates):
Ho 0.0000 0.0000 0.0000
Ho 0.0000 0.5000 0.5000
Ho 0.5000 0.0000 0.5000
Ho 0.5000 0.5000 0.0000
In 0.0000 0.0000 0.5000
In 0.0000 0.5000 0.0000
In 0.5000 0.0000 0.0000
In 0.5000 0.5000 0.5000
Ni 0.2500 0.2500 0.2500
Ni 0.2500 0.7500 0.7500
Ni 0.7500 0.2500 0.7500
Ni 0.7500 0.7500 0.2500
Ru 0.2500 0.2500 0.7500
Ru 0.2500 0.7500 0.2500
Ru 0.7500 0.2500 0.2500
Ru 0.7500 0.7500 0.7500